(1)
Compound: Zr2Tl
Source: Alexandria via LeMat-Bulk
Functional: PBE
Structure: relaxed

Cell lengths 4.375, 4.375, 28.628 Å; angles 90.00, 90.00, 90.00 degrees
Space group I4_1/amd (No. 141, origin choice 2)
One atom of each set of equivalent atoms:
Zr (0.000, 0.250, 0.121) x8
Zr (0.000, 0.250, 0.789) x8
Tl (0.000, 0.250, 0.295) x8

Values from the calculation:
N(E_F) = 4.45 states/eV/f.u.
Crystal system = tetragonal
Formation energy = -0.06 eV per atom



(2)
Compound: Pm2NpGe4Pt3
Source: Alexandria via LeMat-Bulk
Functional: PBE
Structure: relaxed

Cell lengths 4.278, 4.278, 11.533 Å; angles 90.00, 90.00, 90.00 degrees
Space group P-4m2 (No. 115)
One atom of each set of equivalent atoms:
Pm (0.000, 0.500, 0.230) x2
Np (0.000, 0.000, 0.500) x1
Ge (0.000, 0.000, 0.000) x1
Ge (0.000, 0.500, 0.668) x2
Ge (0.500, 0.500, 0.000) x1
Pt (0.000, 0.500, 0.882) x2
Pt (0.500, 0.500, 0.500) x1

Values from the calculation:
N(E_F) = 9.64 states/eV/f.u.
Crystal system = tetragonal
Formation energy = -0.70 eV per atom



(3)
Compound: InTc2MoN
Source: Alexandria via LeMat-Bulk
Functional: PBE
Structure: relaxed

Cell lengths 5.072, 5.072, 5.083 Å; angles 90.00, 90.00, 90.00 degrees
Space group P4/mmm (No. 123)
One atom of each set of equivalent atoms:
In (0.000, 0.000, 0.000) x1
Tc (0.000, 0.500, 0.000) x2
Mo (0.000, 0.000, 0.500) x1
N (0.500, 0.500, 0.500) x1

Values from the calculation:
N(E_F) = 8.55 states/eV/f.u.
Energy relative to the elements, uncorrected = 3545.1 meV per atom
Crystal system = tetragonal
E above lowest polymorph = 3.514 eV/atom



(4)
Compound: KTi2NbO8
Source: Alexandria via LeMat-Bulk
Functional: PBE
Structure: relaxed

Cell lengths 6.919, 6.449, 7.288 Å; angles 90.00, 96.81, 90.00 degrees
Space group C2/m (No. 12)
One atom of each set of equivalent atoms:
K (0.000, 0.000, 0.000) x2
Ti (0.023, 0.500, 0.299) x4
Nb (0.000, 0.000, 0.500) x2
O (0.039, 0.214, 0.697) x8
O (0.099, 0.500, 0.049) x4
O (0.199, 0.500, 0.508) x4

Values from the calculation:
N(E_F) = 0.00 states/eV/f.u.
Energy relative to the elements, uncorrected = -2332.1 meV per atom
Crystal system = monoclinic